1.
DFT (GGA-PBE) results for a relaxed structure of Ca2MgPb.

```
Ca2MgPb
1.0
-2.4326 2.4326 5.1473
2.4326 -2.4326 5.1473
2.4326 2.4326 -5.1473
Ca Mg Pb
2 1 1
Cartesian
0.0000 0.0000 0.0000 Ca
0.0000 2.4326 2.5737 Ca
2.4326 0.0000 2.5737 Mg
0.0000 0.0000 5.1473 Pb
```

Summary:
The value obtained for the energy of formation from the pure elements is -0.245 eV per atom. The crystal system is tetragonal. The calculated density comes out at 4.248 g/cm³. Its symmetry is I-4m2, No. 119.

2.
DFT (GGA-PBE) results for a relaxed structure of Dy4Ir2Pd.

```
Dy4Ir2Pd
1.0
-4.3220 4.3220 4.3193
4.3220 -4.3220 4.3193
4.3220 4.3220 -4.3193
Dy Ir Pd
8 4 2
Cartesian
2.7304 -0.5589 0.5783 Dy
5.9137 0.5589 0.5783 Dy
3.7632 2.7304 -1.5813 Dy
4.8809 -1.5917 3.7410 Dy
0.5589 1.5917 2.7379 Dy
3.7632 1.5917 3.7410 Dy
1.5917 -0.5589 5.9006 Dy
2.7304 4.8809 1.5813 Dy
2.1610 -1.1238 3.2394 Ir
3.1982 2.1610 1.0798 Ir
2.1610 5.4459 -1.0798 Ir
1.1238 2.1610 5.3991 Ir
0.0000 0.0000 0.0000 Pd
0.0000 4.3220 2.1596 Pd
```

Summary:
The value obtained for the energy of formation from the pure elements is -0.798 eV per atom. The distance to the lowest polymorph of the same formula is 48.4 meV per atom. The crystal system is tetragonal. The calculated density comes out at 11.740 g/cm³. Its symmetry is I-42d, No. 122.

3.
DFT (GGA-PBE) results for a relaxed structure of TaIn2Fe.

```
TaIn2Fe
1.0
2.9293 0.0000 0.0000
0.0000 4.1859 0.0000
0.0000 0.0000 6.0194
Ta In Fe
1 2 1
Cartesian
0.0000 0.0000 0.0000 Ta
1.4647 2.0930 1.5677 In
1.4647 2.0930 4.4517 In
0.0000 0.0000 3.0097 Fe
```

Summary:
The value obtained for the energy of formation from the pure elements is 0.357 eV per atom. The distance to the lowest polymorph of the same formula is 254.0 meV per atom. The crystal system is orthorhombic. The calculated density comes out at 10.493 g/cm³. Its symmetry is Pmmm, No. 47.

4.
DFT (GGA-PBE) results for a relaxed structure of BaSr2CaI.

```
BaSr2CaI
1.0
7.0434 0.0000 0.0000
0.0000 7.0434 0.0000
0.0000 0.0000 7.0219
Ba Sr Ca I
1 2 1 1
Cartesian
0.0000 0.0000 0.0000 Ba
0.0000 3.5217 3.5110 Sr
3.5217 0.0000 3.5110 Sr
0.0000 0.0000 3.5110 Ca
3.5217 3.5217 0.0000 I
```

Summary:
Its uncorrected formation energy is 248 meV/atom. The crystal system is tetragonal. The calculated density comes out at 2.286 g/cm³. Its symmetry is P4/mmm, No. 123.

5.
DFT (GGA-PBE) results for a relaxed structure of SiPdS2.

```
SiPdS2
1.0
-2.7347 2.7347 4.9875
2.7347 -2.7347 4.9875
2.7347 2.7347 -4.9875
Si Pd S
2 2 4
Cartesian
0.0000 0.0000 0.0000 Si
0.0000 2.7347 2.4938 Si
2.7347 0.0000 2.4938 Pd
0.0000 0.0000 4.9875 Pd
4.1021 1.1806 -1.2469 S
1.1806 1.3674 1.2469 S
-1.3674 1.5541 3.7406 S
1.5541 1.3674 6.2344 S
```

Summary:
Its uncorrected formation energy is -247 meV/atom. The crystal system is tetragonal. The calculated density comes out at 4.422 g/cm³. Its symmetry is I-42d, No. 122.

6.
DFT (GGA-PBE) results for a relaxed structure of TbGdNiPd.

```
TbGdNiPd
1.0
0.0000 3.4795 3.4795
3.4795 0.0000 3.4795
3.4795 3.4795 0.0000
Tb Gd Ni Pd
1 1 1 1
Cartesian
0.0000 0.0000 0.0000 Tb
3.4795 3.4795 3.4795 Gd
5.2192 5.2192 5.2192 Ni
1.7397 1.7397 1.7397 Pd
```

Summary:
The value obtained for the energy of formation from the pure elements is -0.583 eV per atom. The crystal system is cubic. The calculated density comes out at 9.486 g/cm³. Its symmetry is F-43m, No. 216.

- The lowest calculated density belongs to which entry?
  BaSr2CaI